(1)
{
  "formula": "CeBeGa2Rh4",
  "functional": "PBE",
  "state": "optimized geometry",
  "cell": [[2.1305, 1.2300, 7.7964], [-2.1305, 1.2300, 7.7964], [0.0000, -2.4601, 7.7964]],
  "species": ["Ce", "Be", "Ga", "Ga", "Rh", "Rh", "Rh", "Rh"],
  "frac_coords": [[0.0000, 0.0000, 0.0000], [0.5000, 0.5000, 0.5000], [0.2398, 0.2398, 0.2398], [0.7602, 0.7602, 0.7602], [0.1316, 0.1316, 0.1316], [0.3993, 0.3993, 0.3993], [0.6007, 0.6007, 0.6007], [0.8684, 0.8684, 0.8684]],
  "sg": "R-3m (166)",
  "delta_e_f_mev_per_atom": -705.0,
  "m_tot_mub_per_cell": 0.3,
  "dft_energy_ha_per_atom": -0.23317
}



(2)
{
  "formula": "Ce2BeGaRh6",
  "functional": "PBE",
  "state": "optimized geometry",
  "cell": [[5.1944, -2.7931, 0.0000], [5.1944, 2.7931, 0.0000], [-4.8479, 0.0000, 5.8221]],
  "species": ["Ce", "Ce", "Be", "Ga", "Rh", "Rh", "Rh", "Rh", "Rh", "Rh"],
  "frac_coords": [[0.0009, 0.0009, 0.2463], [0.9991, 0.9991, 0.7537], [0.5000, 0.5000, 0.0000], [0.5000, 0.5000, 0.5000], [0.0243, 0.5079, 0.7053], [0.3177, 0.3177, 0.0652], [0.4921, 0.9757, 0.2947], [0.5079, 0.0243, 0.7053], [0.6823, 0.6823, 0.9348], [0.9757, 0.4921, 0.2947]],
  "sg": "C2/m (12)",
  "delta_e_f_mev_per_atom": -586.9,
  "m_tot_mub_per_cell": 0.0,
  "dft_energy_ha_per_atom": -0.25209
}



(3)
{
  "formula": "CeScBeGa",
  "functional": "PBE",
  "state": "optimized geometry",
  "cell": [[0.0000, 3.4120, 3.4120], [3.4120, 0.0000, 3.4120], [3.4120, 3.4120, 0.0000]],
  "species": ["Ce", "Sc", "Be", "Ga"],
  "frac_coords": [[0.0000, 0.0000, 0.0000], [0.5000, 0.5000, 0.5000], [0.2500, 0.2500, 0.2500], [0.7500, 0.7500, 0.7500]],
  "sg": "F-43m (216)",
  "delta_e_f_mev_per_atom": -213.1,
  "m_tot_mub_per_cell": 0.1,
  "dft_energy_ha_per_atom": -0.18256
}



(4)
{
  "formula": "Ce2Be4GaSi3",
  "functional": "PBE",
  "state": "optimized geometry",
  "cell": [[3.9956, 0.0000, 0.0000], [0.0000, 3.9956, 0.0000], [0.0000, 0.0000, 9.4901]],
  "species": ["Ce", "Ce", "Be", "Be", "Be", "Be", "Ga", "Si", "Si", "Si"],
  "frac_coords": [[0.0000, 0.5000, 0.2447], [0.5000, 0.0000, 0.7553], [0.0000, 0.0000, 0.0000], [0.0000, 0.5000, 0.6329], [0.5000, 0.0000, 0.3671], [0.5000, 0.5000, 0.0000], [0.0000, 0.0000, 0.5000], [0.0000, 0.5000, 0.8724], [0.5000, 0.0000, 0.1276], [0.5000, 0.5000, 0.5000]],
  "sg": "P-4m2 (115)",
  "m_tot_mub_per_cell": 1.2,
  "dft_energy_ha_per_atom": -0.18366
}



(5)
{
  "formula": "CeYBeGa",
  "functional": "PBE",
  "state": "optimized geometry",
  "cell": [[0.0000, 3.5250, 3.5250], [3.5250, 0.0000, 3.5250], [3.5250, 3.5250, 0.0000]],
  "species": ["Ce", "Y", "Be", "Ga"],
  "frac_coords": [[0.0000, 0.0000, 0.0000], [0.5000, 0.5000, 0.5000], [0.2500, 0.2500, 0.2500], [0.7500, 0.7500, 0.7500]],
  "sg": "F-43m (216)",
  "delta_e_f_mev_per_atom": -183.6,
  "m_tot_mub_per_cell": 0.3,
  "dft_energy_ha_per_atom": -0.18269
}



(6)
{
  "formula": "Ce3Be2Ge3",
  "functional": "PBE",
  "state": "optimized geometry",
  "cell": [[1.9740, -5.4687, 0.0000], [1.9740, 5.4687, 0.0000], [0.0000, 0.0000, 15.1091]],
  "species": ["Ce", "Ce", "Ce", "Ce", "Ce", "Ce", "Be", "Be", "Be", "Be", "Ge", "Ge", "Ge", "Ge", "Ge", "Ge"],
  "frac_coords": [[0.0409, 0.9591, 0.7500], [0.3521, 0.6479, 0.5949], [0.3521, 0.6479, 0.9051], [0.6479, 0.3521, 0.0949], [0.6479, 0.3521, 0.4051], [0.9591, 0.0409, 0.2500], [0.3626, 0.6374, 0.1210], [0.3626, 0.6374, 0.3790], [0.6374, 0.3626, 0.6210], [0.6374, 0.3626, 0.8790], [0.0812, 0.9188, 0.5582], [0.0812, 0.9188, 0.9418], [0.2388, 0.7612, 0.2500], [0.7612, 0.2388, 0.7500], [0.9188, 0.0812, 0.0582], [0.9188, 0.0812, 0.4418]],
  "sg": "Cmcm (63)",
  "delta_e_f_mev_per_atom": -528.8,
  "polymorph_energy_mev_per_atom": 0,
  "m_tot_mub_per_cell": 3.9,
  "dft_energy_ha_per_atom": -0.19907
}



(7)
{
  "formula": "Ce3Be2Ge4",
  "functional": "PBE",
  "state": "optimized geometry",
  "cell": [[5.5080, -2.0125, 0.0000], [5.5080, 2.0125, 0.0000], [-1.1215, 0.0000, 8.0866]],
  "species": ["Ce", "Ce", "Ce", "Be", "Be", "Ge", "Ge", "Ge", "Ge"],
  "frac_coords": [[0.0000, 0.0000, 0.0000], [0.3365, 0.3365, 0.3335], [0.6635, 0.6635, 0.6665], [0.3912, 0.3912, 0.7167], [0.6088, 0.6088, 0.2833], [0.0640, 0.0640, 0.3813], [0.2869, 0.2869, 0.9313], [0.7131, 0.7131, 0.0687], [0.9360, 0.9360, 0.6187]],
  "sg": "C2/m (12)",
  "delta_e_f_mev_per_atom": -615.7,
  "polymorph_energy_mev_per_atom": 0,
  "m_tot_mub_per_cell": 2.3,
  "dft_energy_ha_per_atom": -0.20116
}



(8)
{
  "formula": "Ce4BeGe8",
  "functional": "PBE",
  "state": "optimized geometry",
  "cell": [[4.0217, 0.0000, 0.0000], [0.0000, 4.1860, 0.0000], [0.0000, 0.0000, 16.4149]],
  "species": ["Ce", "Ce", "Ce", "Ce", "Be", "Ge", "Ge", "Ge", "Ge", "Ge", "Ge", "Ge", "Ge"],
  "frac_coords": [[0.0000, 0.0000, 0.0000], [0.0000, 0.5000, 0.4967], [0.5000, 0.0000, 0.2114], [0.5000, 0.5000, 0.7093], [0.5000, 0.5000, 0.9241], [0.0000, 0.0000, 0.3557], [0.0000, 0.0000, 0.6508], [0.0000, 0.5000, 0.1606], [0.0000, 0.5000, 0.8498], [0.5000, 0.0000, 0.5515], [0.5000, 0.0000, 0.8501], [0.5000, 0.5000, 0.0632], [0.5000, 0.5000, 0.3526]],
  "sg": "Pmm2 (25)",
  "delta_e_f_mev_per_atom": -561.0,
  "m_tot_mub_per_cell": 1.6,
  "dft_energy_ha_per_atom": -0.20267
}



(9)
{
  "formula": "Ce2Be2Ge3",
  "functional": "PBE",
  "state": "optimized geometry",
  "cell": [[1.9979, -9.5896, 0.0000], [1.9979, 9.5896, 0.0000], [0.0000, 0.0000, 6.8832]],
  "species": ["Ce", "Ce", "Ce", "Ce", "Be", "Be", "Be", "Be", "Ge", "Ge", "Ge", "Ge", "Ge", "Ge"],
  "frac_coords": [[0.0441, 0.9559, 0.7500], [0.1764, 0.8236, 0.2500], [0.8236, 0.1764, 0.7500], [0.9559, 0.0441, 0.2500], [0.3360, 0.6640, 0.0970], [0.3360, 0.6640, 0.4030], [0.6640, 0.3360, 0.5970], [0.6640, 0.3360, 0.9030], [0.2043, 0.7957, 0.7500], [0.4330, 0.5670, 0.5718], [0.4330, 0.5670, 0.9282], [0.5670, 0.4330, 0.0718], [0.5670, 0.4330, 0.4282], [0.7957, 0.2043, 0.2500]],
  "sg": "Cmcm (63)",
  "delta_e_f_mev_per_atom": -444.0,
  "m_tot_mub_per_cell": 2.1,
  "dft_energy_ha_per_atom": -0.19047
}



(10)
{
  "formula": "Ce3Be2Ge4",
  "functional": "PBE",
  "state": "optimized geometry",
  "cell": [[5.5283, -2.0544, 0.0000], [5.5283, 2.0544, 0.0000], [-3.1569, 0.0000, 7.7307]],
  "species": ["Ce", "Ce", "Ce", "Be", "Be", "Ge", "Ge", "Ge", "Ge"],
  "frac_coords": [[0.0000, 0.0000, 0.0000], [0.3909, 0.3909, 0.3287], [0.6091, 0.6091, 0.6713], [0.3170, 0.3170, 0.6742], [0.6830, 0.6830, 0.3258], [0.1185, 0.1185, 0.3979], [0.2804, 0.2804, 0.9312], [0.7196, 0.7196, 0.0688], [0.8815, 0.8815, 0.6021]],
  "sg": "C2/m (12)",
  "delta_e_f_mev_per_atom": -545.8,
  "polymorph_energy_mev_per_atom": 70,
  "m_tot_mub_per_cell": 2.2,
  "dft_energy_ha_per_atom": -0.19859
}



(11)
{
  "formula": "Ce3BeGe2",
  "functional": "PBE",
  "state": "optimized geometry",
  "cell": [[12.0762, 0.0000, 0.0000], [0.0000, 3.9886, 0.0000], [0.0000, 0.0000, 10.7307]],
  "species": ["Ce", "Ce", "Ce", "Ce", "Ce", "Ce", "Ce", "Ce", "Ce", "Ce", "Ce", "Ce", "Be", "Be", "Be", "Be", "Ge", "Ge", "Ge", "Ge", "Ge", "Ge", "Ge", "Ge"],
  "frac_coords": [[0.0449, 0.2500, 0.0915], [0.1218, 0.7500, 0.5730], [0.2078, 0.2500, 0.7544], [0.2922, 0.7500, 0.2544], [0.3782, 0.2500, 0.0730], [0.4551, 0.7500, 0.5915], [0.5449, 0.2500, 0.4085], [0.6218, 0.7500, 0.9270], [0.7078, 0.2500, 0.7456], [0.7922, 0.7500, 0.2456], [0.8782, 0.2500, 0.4270], [0.9551, 0.7500, 0.9085], [0.1285, 0.2500, 0.3591], [0.3715, 0.7500, 0.8591], [0.6285, 0.2500, 0.1409], [0.8715, 0.7500, 0.6409], [0.0415, 0.7500, 0.3040], [0.2066, 0.7500, 0.9709], [0.2934, 0.2500, 0.4709], [0.4585, 0.2500, 0.8040], [0.5415, 0.7500, 0.1960], [0.7066, 0.7500, 0.5291], [0.7934, 0.2500, 0.0291], [0.9585, 0.2500, 0.6960]],
  "sg": "Pnma (62)",
  "delta_e_f_mev_per_atom": -541.3,
  "m_tot_mub_per_cell": 7.4,
  "dft_energy_ha_per_atom": -0.20831
}



(12)
{
  "formula": "Ce3Be2Ge3",
  "functional": "PBE",
  "state": "optimized geometry",
  "cell": [[2.0236, -5.5319, 0.0000], [2.0236, 5.5319, 0.0000], [0.0000, 0.0000, 14.1333]],
  "species": ["Ce", "Ce", "Ce", "Ce", "Ce", "Ce", "Be", "Be", "Be", "Be", "Ge", "Ge", "Ge", "Ge", "Ge", "Ge"],
  "frac_coords": [[0.0541, 0.9459, 0.5989], [0.0541, 0.9459, 0.9011], [0.3522, 0.6478, 0.7500], [0.6478, 0.3522, 0.2500], [0.9459, 0.0541, 0.0989], [0.9459, 0.0541, 0.4011], [0.2362, 0.7638, 0.1052], [0.2362, 0.7638, 0.3948], [0.7638, 0.2362, 0.6052], [0.7638, 0.2362, 0.8948], [0.3452, 0.6548, 0.5444], [0.3452, 0.6548, 0.9556], [0.3585, 0.6415, 0.2500], [0.6415, 0.3585, 0.7500], [0.6548, 0.3452, 0.0444], [0.6548, 0.3452, 0.4556]],
  "sg": "Cmcm (63)",
  "delta_e_f_mev_per_atom": -518.3,
  "polymorph_energy_mev_per_atom": 11,
  "m_tot_mub_per_cell": 4.4,
  "dft_energy_ha_per_atom": -0.19869
}